# Rb3Al5O12 GGA-PBE optimized geometry
data_Rb3Al5O12
_chemical_formula_sum 'Rb24 Al40 O96'
_cell_length_a 12.9653
_cell_length_b 12.9653
_cell_length_c 12.9653
_cell_angle_alpha 90.00
_cell_angle_beta 90.00
_cell_angle_gamma 90.00
_space_group_name_H-M_alt 'I a -3 d'
_space_group_IT_number 230
_space_group_name_Hall '-I 4bd 2c 3'
loop_
_atom_site_label
_atom_site_type_symbol
_atom_site_fract_x
_atom_site_fract_y
_atom_site_fract_z
Rb1 Rb 0.0000 0.2500 0.1250
Al1 Al 0.0000 0.0000 0.0000
Al2 Al 0.0000 0.2500 0.3750
O1 O 0.0266 0.1403 0.9555
# Formation energy (no corrections)   -1.8321 eV per atom



# Cu3PC GGA-PBE optimized geometry
data_Cu3PC
_chemical_formula_sum 'Cu3 P1 C1'
_cell_length_a 3.9282
_cell_length_b 3.9282
_cell_length_c 3.9282
_cell_angle_alpha 90.00
_cell_angle_beta 90.00
_cell_angle_gamma 90.00
_space_group_name_H-M_alt 'P m -3 m'
_space_group_IT_number 221
_space_group_name_Hall '-P 4 2 3'
loop_
_atom_site_label
_atom_site_type_symbol
_atom_site_fract_x
_atom_site_fract_y
_atom_site_fract_z
Cu1 Cu 0.0000 0.0000 0.5000
P1 P 0.5000 0.5000 0.5000
C1 C 0.0000 0.0000 0.0000
# E_form   0.68 eV/atom
# E above lowest polymorph   0.000 eV per atom



# NaTl3I4 GGA-PBE optimized geometry
data_NaTl3I4
_chemical_formula_sum 'Na2 Tl6 I8'
_cell_length_a 8.5599
_cell_length_b 9.8582
_cell_length_c 8.5054
_cell_angle_alpha 90.00
_cell_angle_beta 109.57
_cell_angle_gamma 90.00
_space_group_name_H-M_alt 'P 1 2/c 1'
_space_group_IT_number 13
loop_
_space_group_symop_operation_xyz
'x,y,z'
'-x,-y,-z'
'-x,y,-z+1/2'
'x,-y,z+1/2'
loop_
_atom_site_label
_atom_site_type_symbol
_atom_site_fract_x
_atom_site_fract_y
_atom_site_fract_z
Na1 Na 0.0000 0.1212 0.2500
Tl1 Tl 0.0000 0.3735 0.7500
Tl2 Tl 0.5000 0.1227 0.7500
Tl3 Tl 0.5000 0.3736 0.2500
I1 I 0.2316 0.1165 0.0032
I2 I 0.2408 0.3627 0.4882
# Formation energy (no corrections)   -0.8047 eV per atom
# E above lowest polymorph   0.000 eV per atom



# Pr3SmB2N6 GGA-PBE optimized geometry
data_Pr3SmB2N6
_chemical_formula_sum 'Pr3 Sm1 B2 N6'
_cell_length_a 5.7012
_cell_length_b 5.7012
_cell_length_c 6.4388
_cell_angle_alpha 90.00
_cell_angle_beta 90.00
_cell_angle_gamma 120.00
_space_group_name_H-M_alt 'P -3 m 1'
_space_group_IT_number 164
_space_group_name_Hall '-P 3 2"'
loop_
_atom_site_label
_atom_site_type_symbol
_atom_site_fract_x
_atom_site_fract_y
_atom_site_fract_z
Pr1 Pr 0.0000 0.0000 0.0000
Pr2 Pr 0.3333 0.6667 0.6618
Sm1 Sm 0.0000 0.0000 0.5000
B1 B 0.3333 0.6667 0.2463
N1 N 0.1864 0.3729 0.2706
# Formation energy (no corrections)   -1.0797 eV per atom



# MgCd2OsO6 GGA-PBE optimized geometry
data_MgCd2OsO6
_chemical_formula_sum 'Mg2 Cd4 Os2 O12'
_cell_length_a 5.4495
_cell_length_b 5.5329
_cell_length_c 9.5276
_cell_angle_alpha 90.00
_cell_angle_beta 124.77
_cell_angle_gamma 90.00
_space_group_name_H-M_alt 'P 1 21/c 1'
_space_group_IT_number 14
loop_
_space_group_symop_operation_xyz
'x,y,z'
'-x,-y,-z'
'-x,y+1/2,-z+1/2'
'x,-y+1/2,z+1/2'
loop_
_atom_site_label
_atom_site_type_symbol
_atom_site_fract_x
_atom_site_fract_y
_atom_site_fract_z
Mg1 Mg 0.0000 0.0000 0.0000
Cd1 Cd 0.2561 0.0415 0.7491
Os1 Os 0.5000 0.0000 0.5000
O1 O 0.1634 0.0394 0.2606
O2 O 0.2559 0.6898 0.0474
O3 O 0.3712 0.2096 0.0555
# Formation energy (no corrections)   -1.3291 eV per atom



# TiCrTePS GGA-PBE optimized geometry
data_TiCrTePS
_chemical_formula_sum 'Ti2 Cr2 Te2 P2 S2'
_cell_length_a 8.0014
_cell_length_b 3.3924
_cell_length_c 6.7161
_cell_angle_alpha 90.00
_cell_angle_beta 93.15
_cell_angle_gamma 90.00
_space_group_name_H-M_alt 'C 1 m 1'
_space_group_IT_number 8
loop_
_space_group_symop_operation_xyz
'x,y,z'
'x,-y,z'
'x+1/2,y+1/2,z'
'x+1/2,-y+1/2,z'
loop_
_atom_site_label
_atom_site_type_symbol
_atom_site_fract_x
_atom_site_fract_y
_atom_site_fract_z
Ti1 Ti 0.0000 0.0000 0.0000
Cr1 Cr 0.2076 0.5000 0.6832
Te1 Te 0.2046 0.5000 0.2698
P1 P 0.2851 0.0000 0.9055
S1 S 0.0012 0.0000 0.6409
# Formation energy (no corrections)   -0.5600 eV per atom
# E above lowest polymorph   0.173 eV per atom



# CsLi2AgSb GGA-PBE optimized geometry
data_CsLi2AgSb
_chemical_formula_sum 'Cs1 Li2 Ag1 Sb1'
_cell_length_a 5.3616
_cell_length_b 5.3616
_cell_length_c 5.7068
_cell_angle_alpha 90.00
_cell_angle_beta 90.00
_cell_angle_gamma 90.00
_space_group_name_H-M_alt 'P 4/m m m'
_space_group_IT_number 123
_space_group_name_Hall '-P 4 2'
loop_
_atom_site_label
_atom_site_type_symbol
_atom_site_fract_x
_atom_site_fract_y
_atom_site_fract_z
Cs1 Cs 0.0000 0.0000 0.0000
Li1 Li 0.0000 0.5000 0.5000
Ag1 Ag 0.5000 0.5000 0.0000
Sb1 Sb 0.5000 0.5000 0.5000
# Formation energy (no corrections)   -0.2030 eV per atom



# K4Np3NiS8 GGA-PBE optimized geometry
data_K4Np3NiS8
_chemical_formula_sum 'K8 Np6 Ni2 S16'
_cell_length_a 14.0966
_cell_length_b 7.8484
_cell_length_c 8.6503
_cell_angle_alpha 90.00
_cell_angle_beta 121.80
_cell_angle_gamma 90.00
_space_group_name_H-M_alt 'C 1 2/m 1'
_space_group_IT_number 12
loop_
_space_group_symop_operation_xyz
'x,y,z'
'-x,-y,-z'
'-x,y,-z'
'x,-y,z'
'x+1/2,y+1/2,z'
'-x+1/2,-y+1/2,-z'
'-x+1/2,y+1/2,-z'
'x+1/2,-y+1/2,z'
loop_
_atom_site_label
_atom_site_type_symbol
_atom_site_fract_x
_atom_site_fract_y
_atom_site_fract_z
K1 K 0.0000 0.0000 0.0000
K2 K 0.0000 0.5000 0.0000
K3 K 0.2500 0.2500 0.0000
Np1 Np 0.0000 0.0000 0.5000
Np2 Np 0.2500 0.2500 0.5000
Ni1 Ni 0.0000 0.5000 0.5000
S1 S 0.0201 0.2700 0.3188
S2 S 0.2311 0.0000 0.7030
S3 S 0.2472 0.0000 0.2859
# Formation energy (no corrections)   -1.1717 eV per atom



# ErThGe2 GGA-PBE optimized geometry
data_ErThGe2
_chemical_formula_sum 'Er2 Th2 Ge4'
_cell_length_a 4.1160
_cell_length_b 5.8932
_cell_length_c 7.9876
_cell_angle_alpha 90.00
_cell_angle_beta 90.00
_cell_angle_gamma 90.00
_space_group_name_H-M_alt 'P m c 21'
_space_group_IT_number 26
loop_
_space_group_symop_operation_xyz
'x,y,z'
'-x,-y,z+1/2'
'-x,y,z'
'x,-y,z+1/2'
loop_
_atom_site_label
_atom_site_type_symbol
_atom_site_fract_x
_atom_site_fract_y
_atom_site_fract_z
Er1 Er 0.0000 0.1226 0.0000
Th1 Th 0.5000 0.3733 0.3622
Ge1 Ge 0.0000 0.3975 0.6390
Ge2 Ge 0.5000 0.1054 0.7245
# E_form   -0.76 eV/atom



# PbC GGA-PBE optimized geometry
data_PbC
_chemical_formula_sum 'Pb6 C6'
_cell_length_a 2.9037
_cell_length_b 2.9037
_cell_length_c 34.8860
_cell_angle_alpha 90.00
_cell_angle_beta 90.00
_cell_angle_gamma 120.00
_space_group_name_H-M_alt 'R -3 m'
_space_group_IT_number 166
_space_group_name_Hall '-R 3 2"'
loop_
_atom_site_label
_atom_site_type_symbol
_atom_site_fract_x
_atom_site_fract_y
_atom_site_fract_z
Pb1 Pb 0.0000 0.0000 0.1162
C1 C 0.0000 0.0000 0.3333
# E_form   1.20 eV/atom
# E above lowest polymorph   0.349 eV per atom



# LiLaMg2Hg2 GGA-PBE optimized geometry
data_LiLaMg2Hg2
_chemical_formula_sum 'Li1 La1 Mg2 Hg2'
_cell_length_a 4.8997
_cell_length_b 4.8997
_cell_length_c 6.9091
_cell_angle_alpha 90.00
_cell_angle_beta 90.00
_cell_angle_gamma 120.00
_space_group_name_H-M_alt 'P -3 m 1'
_space_group_IT_number 164
_space_group_name_Hall '-P 3 2"'
loop_
_atom_site_label
_atom_site_type_symbol
_atom_site_fract_x
_atom_site_fract_y
_atom_site_fract_z
Li1 Li 0.0000 0.0000 0.0000
La1 La 0.0000 0.0000 0.5000
Mg1 Mg 0.3333 0.6667 0.1709
Hg1 Hg 0.3333 0.6667 0.7471
# E_form   -0.36 eV/atom



# CrReW2N GGA-PBE optimized geometry
data_CrReW2N
_chemical_formula_sum 'Cr1 Re1 W2 N1'
_cell_length_a 4.1119
_cell_length_b 4.1119
_cell_length_c 3.8738
_cell_angle_alpha 90.00
_cell_angle_beta 90.00
_cell_angle_gamma 90.00
_space_group_name_H-M_alt 'P 4/m m m'
_space_group_IT_number 123
_space_group_name_Hall '-P 4 2'
loop_
_atom_site_label
_atom_site_type_symbol
_atom_site_fract_x
_atom_site_fract_y
_atom_site_fract_z
Cr1 Cr 0.0000 0.0000 0.0000
Re1 Re 0.5000 0.5000 0.0000
W1 W 0.0000 0.5000 0.5000
N1 N 0.0000 0.0000 0.5000
# Formation energy (no corrections)   -0.0149 eV per atom



# MoSe2 GGA-PBE optimized geometry
data_MoSe2
_chemical_formula_sum 'Mo2 Se4'
_cell_length_a 3.0862
_cell_length_b 3.0862
_cell_length_c 13.1578
_cell_angle_alpha 90.00
_cell_angle_beta 90.00
_cell_angle_gamma 90.00
_space_group_name_H-M_alt 'I 4/m m m'
_space_group_IT_number 139
_space_group_name_Hall '-I 4 2'
loop_
_atom_site_label
_atom_site_type_symbol
_atom_site_fract_x
_atom_site_fract_y
_atom_site_fract_z
Mo1 Mo 0.0000 0.0000 0.0000
Se1 Se 0.0000 0.0000 0.3818
# Formation energy (no corrections)   -0.3481 eV per atom



# CaHgSe2Br GGA-PBE optimized geometry
data_CaHgSe2Br
_chemical_formula_sum 'Ca1 Hg1 Se2 Br1'
_cell_length_a 5.7947
_cell_length_b 5.7947
_cell_length_c 5.5894
_cell_angle_alpha 90.00
_cell_angle_beta 90.00
_cell_angle_gamma 90.00
_space_group_name_H-M_alt 'P 4/m m m'
_space_group_IT_number 123
_space_group_name_Hall '-P 4 2'
loop_
_atom_site_label
_atom_site_type_symbol
_atom_site_fract_x
_atom_site_fract_y
_atom_site_fract_z
Ca1 Ca 0.0000 0.0000 0.0000
Hg1 Hg 0.5000 0.5000 0.5000
Se1 Se 0.0000 0.5000 0.0000
Br1 Br 0.0000 0.0000 0.5000
# Formation energy (no corrections)   -0.3245 eV per atom
# E above lowest polymorph   0.098 eV per atom



# Pm3DySc2S6 GGA-PBE optimized geometry
data_Pm3DySc2S6
_chemical_formula_sum 'Pm6 Dy2 Sc4 S12'
_cell_length_a 6.6958
_cell_length_b 11.6366
_cell_length_c 6.8438
_cell_angle_alpha 90.00
_cell_angle_beta 109.14
_cell_angle_gamma 90.00
_space_group_name_H-M_alt 'C 1 2/m 1'
_space_group_IT_number 12
loop_
_space_group_symop_operation_xyz
'x,y,z'
'-x,-y,-z'
'-x,y,-z'
'x,-y,z'
'x+1/2,y+1/2,z'
'-x+1/2,-y+1/2,-z'
'-x+1/2,y+1/2,-z'
'x+1/2,-y+1/2,z'
loop_
_atom_site_label
_atom_site_type_symbol
_atom_site_fract_x
_atom_site_fract_y
_atom_site_fract_z
Pm1 Pm 0.0000 0.0000 0.0000
Pm2 Pm 0.0000 0.3368 0.0000
Dy1 Dy 0.0000 0.5000 0.5000
Sc1 Sc 0.0000 0.1663 0.5000
S1 S 0.2319 0.0000 0.7250
S2 S 0.2474 0.3286 0.7284
# Formation energy (no corrections)   -1.9586 eV per atom



# Li2MgRh GGA-PBE optimized geometry
data_Li2MgRh
_chemical_formula_sum 'Li6 Mg3 Rh3'
_cell_length_a 2.9124
_cell_length_b 2.9124
_cell_length_c 27.3828
_cell_angle_alpha 90.00
_cell_angle_beta 90.00
_cell_angle_gamma 120.00
_space_group_name_H-M_alt 'R 3 m'
_space_group_IT_number 160
_space_group_name_Hall 'R 3 -2"'
loop_
_atom_site_label
_atom_site_type_symbol
_atom_site_fract_x
_atom_site_fract_y
_atom_site_fract_z
Li1 Li 0.0000 0.0000 0.0000
Li2 Li 0.0000 0.0000 0.2403
Mg1 Mg 0.0000 0.0000 0.4820
Rh1 Rh 0.0000 0.0000 0.7392
# E_form   -0.08 eV/atom



# LiThSb2 GGA-PBE optimized geometry
data_LiThSb2
_chemical_formula_sum 'Li2 Th2 Sb4'
_cell_length_a 4.3923
_cell_length_b 4.3923
_cell_length_c 10.7535
_cell_angle_alpha 90.00
_cell_angle_beta 90.00
_cell_angle_gamma 90.00
_space_group_name_H-M_alt 'P 4/n m m'
_space_group_IT_number 129
loop_
_space_group_symop_operation_xyz
'x,y,z'
'-x,-y,-z'
'-y+1/2,x,z'
'y+1/2,-x,-z'
'-x+1/2,-y+1/2,z'
'x+1/2,y+1/2,-z'
'y,-x+1/2,z'
'-y,x+1/2,-z'
'x+1/2,-y,-z'
'-x+1/2,y,z'
'-y,-x,-z'
'y,x,z'
'-x,y+1/2,-z'
'x,-y+1/2,z'
'y+1/2,x+1/2,-z'
'-y+1/2,-x+1/2,z'
loop_
_atom_site_label
_atom_site_type_symbol
_atom_site_fract_x
_atom_site_fract_y
_atom_site_fract_z
Li1 Li 0.2500 0.7500 0.0000
Th1 Th 0.2500 0.2500 0.2753
Sb1 Sb 0.2500 0.2500 0.8322
Sb2 Sb 0.2500 0.7500 0.5000
# Formation energy (no corrections)   -0.7602 eV per atom
# E above lowest polymorph   0.000 eV per atom



# Tb2HoBi3 GGA-PBE optimized geometry
data_Tb2HoBi3
_chemical_formula_sum 'Tb4 Ho2 Bi6'
_cell_length_a 4.4800
_cell_length_b 6.3302
_cell_length_c 13.4392
_cell_angle_alpha 90.00
_cell_angle_beta 90.00
_cell_angle_gamma 90.00
_space_group_name_H-M_alt 'I m m m'
_space_group_IT_number 71
_space_group_name_Hall '-I 2 2'
loop_
_atom_site_label
_atom_site_type_symbol
_atom_site_fract_x
_atom_site_fract_y
_atom_site_fract_z
Tb1 Tb 0.0000 0.0000 0.1671
Ho1 Ho 0.0000 0.0000 0.5000
Bi1 Bi 0.0000 0.5000 0.1654
Bi2 Bi 0.0000 0.5000 0.5000
# E_form   -0.87 eV/atom



# ZrNbSe2N GGA-PBE optimized geometry
data_ZrNbSe2N
_chemical_formula_sum 'Zr1 Nb1 Se2 N1'
_cell_length_a 5.2894
_cell_length_b 5.2894
_cell_length_c 3.9833
_cell_angle_alpha 90.00
_cell_angle_beta 90.00
_cell_angle_gamma 90.00
_space_group_name_H-M_alt 'P 4/m m m'
_space_group_IT_number 123
_space_group_name_Hall '-P 4 2'
loop_
_atom_site_label
_atom_site_type_symbol
_atom_site_fract_x
_atom_site_fract_y
_atom_site_fract_z
Zr1 Zr 0.0000 0.0000 0.0000
Nb1 Nb 0.5000 0.5000 0.5000
Se1 Se 0.0000 0.5000 0.0000
N1 N 0.0000 0.0000 0.5000
# Formation energy (no corrections)   0.1790 eV per atom
# E above lowest polymorph   0.361 eV per atom



# Hf2UH8 GGA-PBE optimized geometry
data_Hf2UH8
_chemical_formula_sum 'Hf4 U2 H16'
_cell_length_a 3.1610
_cell_length_b 5.6567
_cell_length_c 9.8020
_cell_angle_alpha 90.00
_cell_angle_beta 90.00
_cell_angle_gamma 90.00
_space_group_name_H-M_alt 'I m m m'
_space_group_IT_number 71
_space_group_name_Hall '-I 2 2'
loop_
_atom_site_label
_atom_site_type_symbol
_atom_site_fract_x
_atom_site_fract_y
_atom_site_fract_z
Hf1 Hf 0.0000 0.0000 0.1711
U1 U 0.0000 0.0000 0.5000
H1 H 0.0000 0.2118 0.0000
H2 H 0.0000 0.2670 0.3352
H3 H 0.0000 0.5000 0.1704
# Raw total energy   -0.205 hartree per atom